--- P ---
Here is a relaxed TmScSnRu crystal from Alexandria via LeMat-Bulk. Energies are from PBE.

Cell and atoms, written as extended XYZ:
```
4
Lattice="3.2941 0.0000 0.0000 0.0000 3.2941 0.0000 0.0000 0.0000 7.8306" Properties=species:S:1:pos:R:3 pbc="T T T"
Tm 0.0000 0.0000 0.0000
Sc 0.0000 0.0000 4.6268
Sn 1.6470 1.6470 2.4319
Ru 1.6470 1.6470 6.0984
```

Calculated values
SG: P4mm

***

--- Q ---
Here is a relaxed TmScSnRu crystal from Alexandria via LeMat-Bulk. Energies are from PBE.

Cell and atoms, written as extended XYZ:
```
4
Lattice="0.0000 3.4602 3.4602 3.4602 0.0000 3.4602 3.4602 3.4602 0.0000" Properties=species:S:1:pos:R:3 pbc="T T T"
Tm 0.0000 0.0000 0.0000
Sc 3.4602 3.4602 3.4602
Sn 1.7301 1.7301 1.7301
Ru 5.1903 5.1903 5.1903
```

Calculated values
SG: F-43m

***

Energies relative to the most stable structure, in eV/atom: P 0.000; Q 0.147.